Computed, not measured: an optimized crystal structure of PdClO at the PBE level of DFT. Values from VASP.

Structure (Quantum ESPRESSO input):
```
&SYSTEM
  ibrav = 0, nat = 6, ntyp = 3
/
ATOMIC_SPECIES
Pd 106.42 Pd.upf
Cl 35.45 Cl.upf
O 16.00 O.upf
CELL_PARAMETERS angstrom
3.147 0.000 0.000
-1.526 5.684 0.000
0.000 -0.285 6.780
ATOMIC_POSITIONS angstrom
Pd 0.405 3.867 4.765
Pd 1.978 3.868 1.756
Cl 1.979 2.824 6.175
Cl 0.405 2.102 2.189
O -1.168 4.567 3.671
O 0.405 5.071 1.392
```

## Properties
E_form (uncorrected) (eV per atom): -0.1785
Calculated total energy (eV per atom): -4.1778
SG: P1